This record from Alexandria describes crystalline MnOsF2 at its relaxed geometry. The functional is PBE+U.

Cell lengths 7.7468, 7.7468, 7.7468 Å; angles 20.61, 20.61, 20.61 degrees
Closest atoms and distances in Å follow each position.
Element x y z (fractional)
F 0.0911 0.0911 0.0911  1 Os 2.07
F 0.9089 0.9089 0.9089  1 Os 2.07
Mn 0.5000 0.5000 0.5000  6 F 2.35
Os 0.0000 0.0000 0.0000  2 F 2.07

## Properties
Its space group is No. 166. As for the total DFT energy (no corrections): -6.34 eV per atom. For the polymorph energy (0 for the lowest one), the calculation gives 0 meV/atom. The value obtained for the total moment is 4.117 μB/cell.